{"formula": "Rb3HgGe", "functional": "GGA-PBE", "state": "relaxed", "sg": "Pm-3m (221)", "total_magnetization_mub_per_atom": 0.20, "final_energy_ev_per_atom": -1.4381, "delta_e_f_mev_per_atom": 126, "polymorph_energy_mev_per_atom": 208.1, "lattice": [[-2.941, 3.974, 4.809], [0.404, -5.184, 4.532], [6.226, 2.214, 1.978]], "species": ["Ge", "Hg", "Rb", "Rb", "Rb"], "fractional_positions": [[0.000, 0.000, 0.000], [0.500, 0.500, 0.500], [0.000, 0.500, 0.000], [0.000, 0.000, 0.500], [0.500, 0.000, 0.000]]}